[1]
Compound: Ac2NdSm5Ho
Source: Alexandria via LeMat-Bulk
Functional: PBE
Structure: optimized geometry

DOS at the Fermi energy = 1.385 states/eV/atom
DFT total energy = -4.43 eV per atom
Volume = 1310.9 Å³/cell
Energy relative to the elements = 0.143 eV/atom
Size of the total moment = 0.000 μB per atom

a = 5.8414 Å, b = 20.4735 Å, c = 10.9612 Å
α = 90.00°, β = 90.00°, γ = 90.00°
Space group Cmc2_1 (No. 36)
Symmetry-distinct sites (fractional):
Ac: 0.0000 0.1134 0.0000 [4 per cell]
Ac: 0.0000 0.1169 0.5875 [4 per cell]
Nd: 0.0000 0.4115 0.7322 [4 per cell]
Sm: 0.0000 0.0192 0.2913 [4 per cell]
Sm: 0.0000 0.2825 0.5801 [4 per cell]
Sm: 0.0000 0.2960 0.9734 [4 per cell]
Sm: 0.0000 0.3876 0.2890 [4 per cell]
Sm: 0.0000 0.4821 0.0096 [4 per cell]
Ho: 0.0000 0.2056 0.2788 [4 per cell]

[2]
Compound: Ac2NdSmHo
Source: Alexandria via LeMat-Bulk
Functional: PBE
Structure: optimized geometry

DOS at the Fermi energy = 1.330 states/eV/atom
DFT total energy = -4.20 eV per atom
Volume = 392.5 Å³/cell
Energy relative to the elements = 0.255 eV/atom
Size of the total moment = 0.000 μB per atom

a = 6.4796 Å, b = 8.8884 Å, c = 6.8144 Å
α = 90.00°, β = 90.00°, γ = 90.00°
Space group Pmma (No. 51)
Symmetry-distinct sites (fractional):
Ac: 0.2500 0.2054 0.2102 [4 per cell]
Nd: 0.2500 0.5000 0.9146 [2 per cell]
Sm: 0.2500 0.0000 0.6812 [2 per cell]
Ho: 0.0000 0.5000 0.5000 [2 per cell]

[3]
Compound: AcNdSm3Ho
Source: Alexandria via LeMat-Bulk
Functional: PBE
Structure: optimized geometry

DOS at the Fermi energy = 1.648 states/eV/atom
DFT total energy = -4.56 eV per atom
Volume = 423.3 Å³/cell
Energy relative to the elements = 0.038 eV/atom
Size of the total moment = 0.000 μB per atom

a = 8.2464 Å, b = 5.2103 Å, c = 10.3976 Å
α = 90.00°, β = 108.65°, γ = 90.00°
Space group P2_1/m (No. 11)
Symmetry-distinct sites (fractional):
Ac: 0.1680 0.2500 0.2932 [2 per cell]
Nd: 0.4962 0.7500 0.8747 [2 per cell]
Sm: 0.1703 0.7500 0.0401 [2 per cell]
Sm: 0.1717 0.2500 0.7919 [2 per cell]
Sm: 0.1720 0.7500 0.5459 [2 per cell]
Ho: 0.4981 0.2500 0.6259 [2 per cell]

[4]
Compound: AcNdSm2Ho5
Source: Alexandria via LeMat-Bulk
Functional: PBE
Structure: optimized geometry

DOS at the Fermi energy = 1.127 states/eV/atom
DFT total energy = -4.33 eV per atom
Volume = 1218.3 Å³/cell
Energy relative to the elements = 0.251 eV/atom
Size of the total moment = 0.000 μB per atom

a = 8.8322 Å, b = 8.8322 Å, c = 15.6171 Å
α = 90.00°, β = 90.00°, γ = 90.00°
Space group I4/mcm (No. 140)
Symmetry-distinct sites (fractional):
Ac: 0.0000 0.0000 0.2500 [4 per cell]
Nd: 0.0000 0.5000 0.2500 [4 per cell]
Sm: 0.1167 0.3833 0.0000 [8 per cell]
Ho: 0.0000 0.0000 0.0000 [4 per cell]
Ho: 0.2047 0.2953 0.3693 [16 per cell]

[5]
Compound: AcNd2Sm5Ho
Source: Alexandria via LeMat-Bulk
Functional: PBE
Structure: optimized geometry

DOS at the Fermi energy = 1.141 states/eV/atom
DFT total energy = -4.39 eV per atom
Volume = 1272.9 Å³/cell
Energy relative to the elements = 0.257 eV/atom
Size of the total moment = 0.000 μB per atom

a = 8.9612 Å, b = 8.9612 Å, c = 15.8514 Å
α = 90.00°, β = 90.00°, γ = 90.00°
Space group I4/mcm (No. 140)
Symmetry-distinct sites (fractional):
Ac: 0.0000 0.0000 0.2500 [4 per cell]
Nd: 0.1171 0.3829 0.0000 [8 per cell]
Sm: 0.0000 0.0000 0.0000 [4 per cell]
Sm: 0.2058 0.2942 0.3664 [16 per cell]
Ho: 0.0000 0.5000 0.2500 [4 per cell]

[6]
Compound: Ac5Nd2SmHo
Source: Alexandria via LeMat-Bulk
Functional: PBE
Structure: optimized geometry

DOS at the Fermi energy = 1.519 states/eV/atom
DFT total energy = -4.09 eV per atom
Volume = 1479.4 Å³/cell
Energy relative to the elements = 0.289 eV/atom
Size of the total moment = 0.000 μB per atom

a = 8.4745 Å, b = 8.4745 Å, c = 20.6000 Å
α = 90.00°, β = 90.00°, γ = 90.00°
Space group I4/mcm (No. 140)
Symmetry-distinct sites (fractional):
Ac: 0.0000 0.0000 0.0000 [4 per cell]
Ac: 0.2244 0.2756 0.1377 [16 per cell]
Nd: 0.1223 0.3777 0.5000 [8 per cell]
Sm: 0.0000 0.0000 0.2500 [4 per cell]
Ho: 0.0000 0.5000 0.2500 [4 per cell]